(1)
First-principles (PBE) data for a relaxed structure of Zn5C, as listed in Alexandria.

Calculated values
SG	Cmmm
E	-0.147	Ry/atom
ΔE to the lowest computed polymorph	66	meV per atom
formation energy	0.597	eV/atom

Lattice parameters (Å, degrees): 7.9693 7.9693 2.7707 90.00 90.00 151.63
Atoms (fractional coordinates):
Zn1 0.3800 0.6200 0.5000
Zn2 0.1955 0.8045 0.0000
Zn3 0.0000 0.0000 0.5000
Zn4 0.8045 0.1955 0.0000
Zn5 0.6200 0.3800 0.5000
C1 0.5000 0.5000 0.0000

=====

(2)
First-principles (PBE) data for a relaxed structure of Zn2C, as listed in Alexandria.

Calculated values
SG	Fmmm
E	-0.198	Ry/atom
ΔE to the lowest computed polymorph	599	meV per atom
formation energy	1.223	eV/atom

Lattice parameters (Å, degrees): 5.3362 5.0569 2.9233 79.00 68.47 32.53
Atoms (fractional coordinates):
Zn1 0.6369 0.6369 0.3631
Zn2 0.3631 0.3631 0.6369
C1 0.0000 0.0000 0.0000

=====

Repeat the first record exactly.
First-principles (PBE) data for a relaxed structure of Zn5C, as listed in Alexandria.

Calculated values
SG	Cmmm
E	-0.147	Ry/atom
ΔE to the lowest computed polymorph	66	meV per atom
formation energy	0.597	eV/atom

Lattice parameters (Å, degrees): 7.9693 7.9693 2.7707 90.00 90.00 151.63
Atoms (fractional coordinates):
Zn1 0.3800 0.6200 0.5000
Zn2 0.1955 0.8045 0.0000
Zn3 0.0000 0.0000 0.5000
Zn4 0.8045 0.1955 0.0000
Zn5 0.6200 0.3800 0.5000
C1 0.5000 0.5000 0.0000

=====

- Among the records above, which one has the highest formation energy?
  Zn2C

=====

- Which formula does entry 2 have?
  Zn2C

=====

- E of number 1 (Zn5C)?
  -0.147 Ry/atom